## Rb2NpZn2O6 (PBE)

Data for an optimized crystal structure of Rb2NpZn2O6.

Energy relative to the elements, uncorrected, kJ/mol of formula units: -2091
Calculated volume, A^3/atom: 17.81
Energy, eV per formula unit: -68.8

Cell lengths 6.1276, 6.1276, 18.0711 Å; angles 90.00, 90.00, 120.00 degrees
Space group R-3m (No. 166, hexagonal axes)
Symmetry-distinct sites (fractional):
Rb  0.0000  0.0000  0.2106 x6
Np  0.0000  0.0000  0.0000 x3
Zn  0.0000  0.0000  0.4025 x6
O  0.0212  0.5106  0.7368 x18